[1]
Entry from Alexandria: Cr2ReAg after structural relaxation (PBE).

As for the energy relative to the elements: 491 meV/atom. The offset from the most stable computed form comes out at 0.50 eV per formula unit. Its magnetization is 0.002 μB/atom.

a b c (Å): 2.698 2.698 7.882
angles (deg): 90.00 90.00 90.00
Fractional coordinates of all 4 atoms:
Re 0.500 0.500 0.250
Cr 0.000 0.000 0.022
Cr 0.000 0.000 0.478
Ag 0.500 0.500 0.750

[2]
Entry from Alexandria: CrRe2Ag after structural relaxation (PBE).

As for the energy relative to the elements: 536 meV/atom. The offset from the most stable computed form comes out at 0.76 eV per formula unit. Its magnetization is 0.447 μB/atom.

a b c (Å): 4.692 4.692 4.692
angles (deg): 129.85 129.85 73.65
Fractional coordinates of all 4 atoms:
Re 0.250 0.750 0.500
Ag 0.500 0.500 0.000
Cr 0.750 0.250 0.500
Re 0.000 0.000 0.000

[3]
Entry from Alexandria: CrReAg3 after structural relaxation (PBE).

As for the energy relative to the elements: 1988 meV/atom. The offset from the most stable computed form comes out at 0.00 eV per formula unit. Its magnetization is 1.648 μB/atom.

a b c (Å): 4.867 4.867 4.867
angles (deg): 90.00 90.00 90.00
Fractional coordinates of all 5 atoms:
Ag 0.000 0.000 0.500
Ag 0.000 0.500 0.000
Ag 0.500 0.000 0.000
Re 0.500 0.500 0.500
Cr 0.000 0.000 0.000

[4]
Entry from Alexandria: CrRe2Ag after structural relaxation (PBE).

As for the energy relative to the elements: 990 meV/atom. The offset from the most stable computed form comes out at 2.58 eV per formula unit. Its magnetization is 0.790 μB/atom.

a b c (Å): 3.765 3.765 9.931
angles (deg): 79.07 79.07 90.00
Fractional coordinates of all 8 atoms:
Ag 0.750 0.250 0.500
Re 0.166 0.625 0.250
Ag 0.000 0.000 0.000
Cr 0.250 0.750 0.500
Cr 0.500 0.500 0.000
Re 0.584 0.125 0.250
Re 0.875 0.834 0.750
Re 0.375 0.416 0.750

[5]
Entry from Alexandria: CrReAg2 after structural relaxation (PBE).

As for the energy relative to the elements: 395 meV/atom. The offset from the most stable computed form comes out at 0.12 eV per formula unit. Its magnetization is 0.161 μB/atom.

a b c (Å): 2.937 2.937 7.493
angles (deg): 90.00 90.00 90.00
Fractional coordinates of all 4 atoms:
Cr 0.000 0.000 0.535
Re 0.500 0.500 0.704
Ag 0.500 0.500 0.267
Ag 0.000 0.000 0.993

[6]
Entry from Alexandria: CrRe2Ag after structural relaxation (PBE).

As for the energy relative to the elements: 471 meV/atom. The offset from the most stable computed form comes out at 0.51 eV per formula unit. Its magnetization is 0.038 μB/atom.

a b c (Å): 2.732 3.876 5.630
angles (deg): 90.00 90.00 90.00
Fractional coordinates of all 4 atoms:
Ag 0.500 0.500 0.250
Re 0.000 0.000 0.966
Re 0.000 0.000 0.534
Cr 0.500 0.500 0.750

[7]
Entry from Alexandria: Cr2ReAg after structural relaxation (PBE).

As for the energy relative to the elements: 484 meV/atom. The offset from the most stable computed form comes out at 0.47 eV per formula unit. Its magnetization is 0.003 μB/atom.

a b c (Å): 3.970 2.661 5.711
angles (deg): 71.06 90.00 90.00
Fractional coordinates of all 4 atoms:
Cr 0.000 0.047 0.041
Cr 0.500 0.235 0.244
Re 0.000 0.462 0.458
Ag 0.500 0.756 0.758

[8]
Entry from Alexandria: Cr4ReAg after structural relaxation (PBE).

As for the energy relative to the elements: 256 meV/atom. Its magnetization is 0.000 μB/atom.

a b c (Å): 4.797 4.797 4.797
angles (deg): 60.00 60.00 60.00
Fractional coordinates of all 6 atoms:
Cr 0.374 0.879 0.374
Cr 0.374 0.374 0.374
Cr 0.374 0.374 0.879
Cr 0.879 0.374 0.374
Ag 0.000 0.000 0.000
Re 0.750 0.750 0.750

[9]
Entry from Alexandria: CrRe2Ag after structural relaxation (PBE).

As for the energy relative to the elements: 762 meV/atom. The offset from the most stable computed form comes out at 1.67 eV per formula unit. Its magnetization is 0.000 μB/atom.

a b c (Å): 4.366 4.366 4.366
angles (deg): 60.00 60.00 60.00
Fractional coordinates of all 4 atoms:
Re 0.250 0.250 0.250
Ag 0.500 0.500 0.500
Cr 0.000 0.000 0.000
Re 0.750 0.750 0.750

[10]
Entry from Alexandria: Cr2ReAg after structural relaxation (PBE).

As for the energy relative to the elements: 1039 meV/atom. The offset from the most stable computed form comes out at 2.69 eV per formula unit. Its magnetization is 0.000 μB/atom.

a b c (Å): 6.842 6.842 5.523
angles (deg): 51.73 51.73 90.00
Fractional coordinates of all 8 atoms:
Cr 0.875 0.908 0.750
Ag 0.500 0.500 0.000
Cr 0.658 0.125 0.250
Re 0.750 0.250 0.500
Cr 0.375 0.342 0.750
Ag 0.250 0.750 0.500
Cr 0.092 0.625 0.250
Re 0.000 0.000 0.000

[11]
Entry from Alexandria: CrRe2Ag after structural relaxation (PBE).

As for the energy relative to the elements: 377 meV/atom. The offset from the most stable computed form comes out at 0.13 eV per formula unit. Its magnetization is 0.000 μB/atom.

a b c (Å): 9.341 9.341 9.341
angles (deg): 16.91 16.91 16.91
Fractional coordinates of all 4 atoms:
Re 0.745 0.745 0.745
Re 0.999 0.999 0.999
Ag 0.502 0.502 0.502
Cr 0.254 0.254 0.254

[12]
Entry from Alexandria: CrRe2Ag after structural relaxation (PBE).

As for the energy relative to the elements: 575 meV/atom. The offset from the most stable computed form comes out at 0.92 eV per formula unit. Its magnetization is 0.648 μB/atom.

a b c (Å): 4.416 4.416 4.416
angles (deg): 60.00 60.00 60.00
Fractional coordinates of all 4 atoms:
Re 0.250 0.250 0.250
Cr 0.750 0.750 0.750
Re 0.000 0.000 0.000
Ag 0.500 0.500 0.500

Question: What is the energy relative to the elements in the fifth record?
Answer: 395 meV/atom

Question: Number 10 is which compound?
Answer: Cr2ReAg

Copy entry 7 word for word.
Entry from Alexandria: Cr2ReAg after structural relaxation (PBE).

As for the energy relative to the elements: 484 meV/atom. The offset from the most stable computed form comes out at 0.47 eV per formula unit. Its magnetization is 0.003 μB/atom.

a b c (Å): 3.970 2.661 5.711
angles (deg): 71.06 90.00 90.00
Fractional coordinates of all 4 atoms:
Cr 0.000 0.047 0.041
Cr 0.500 0.235 0.244
Re 0.000 0.462 0.458
Ag 0.500 0.756 0.758

Question: energy relative to the elements of number 9 (CrRe2Ag)?
Answer: 762 meV/atom